Entry 1:
Entry from Alexandria: TbSc2Ni after structural relaxation (PBE).

POSCAR file:
```
TbSc2Ni
1.0
3.615 0.000 0.000
1.808 3.131 0.000
1.808 1.044 8.404
Tb Sc Ni
1 2 1
direct
0.502 0.502 0.495 Tb
0.057 0.057 0.828 Sc
0.275 0.275 0.175 Sc
0.666 0.666 0.003 Ni
```

E above lowest polymorph = 0.1631 eV/atom
Formation enthalpy at 0 K = -0.09 eV per atom
E = -5.859 eV/atom


Entry 2:
Entry from Alexandria: TbSc3Ni8 after structural relaxation (PBE).

POSCAR file:
```
TbSc3Ni8
1.0
4.948 0.000 0.000
-2.474 4.285 0.000
0.000 0.000 8.061
Tb Sc Ni
1 3 8
direct
0.000 0.000 0.567 Tb
0.667 0.333 0.426 Sc
0.667 0.333 0.060 Sc
0.000 0.000 0.945 Sc
0.333 0.667 0.499 Ni
0.333 0.667 0.999 Ni
0.502 0.003 0.755 Ni
0.502 0.498 0.755 Ni
0.997 0.498 0.755 Ni
0.166 0.333 0.246 Ni
0.166 0.834 0.246 Ni
0.667 0.834 0.246 Ni
```

E above lowest polymorph = 0.0174 eV/atom
Formation enthalpy at 0 K = -0.48 eV per atom
E = -6.300 eV/atom


Entry 3:
Entry from Alexandria: TbSc4Ni2 after structural relaxation (PBE).

POSCAR file:
```
TbSc4Ni2
1.0
5.885 0.000 0.000
0.000 6.584 -2.793
0.000 0.081 7.602
Tb Sc Ni
2 8 4
direct
0.250 0.852 0.981 Tb
0.750 0.148 0.019 Tb
0.503 0.406 0.765 Sc
0.250 0.260 0.355 Sc
0.750 0.740 0.645 Sc
0.997 0.406 0.765 Sc
0.750 0.026 0.396 Sc
0.003 0.594 0.235 Sc
0.497 0.594 0.235 Sc
0.250 0.974 0.604 Sc
0.250 0.267 0.994 Ni
0.750 0.733 0.006 Ni
0.750 0.383 0.424 Ni
0.250 0.617 0.576 Ni
```

Formation enthalpy at 0 K = -0.21 eV per atom
E = -6.139 eV/atom


Entry 4:
Entry from Alexandria: Tb2Sc5Ni2 after structural relaxation (PBE).

POSCAR file:
```
Tb2Sc5Ni2
1.0
1.366 2.012 6.083
-3.937 -4.617 2.412
8.091 -5.122 3.405
Tb Sc Ni
4 10 4
direct
0.229 0.000 0.542 Tb
0.729 0.500 0.542 Tb
0.771 0.000 0.458 Tb
0.271 0.500 0.458 Tb
0.000 0.000 0.000 Sc
0.500 0.500 0.000 Sc
0.432 0.172 0.787 Sc
0.781 0.828 0.787 Sc
0.281 0.672 0.787 Sc
0.932 0.328 0.787 Sc
0.568 0.828 0.213 Sc
0.219 0.172 0.213 Sc
0.719 0.328 0.213 Sc
0.068 0.672 0.213 Sc
0.127 0.374 0.000 Ni
0.873 0.626 0.000 Ni
0.373 0.874 0.000 Ni
0.627 0.126 0.000 Ni
```

Formation enthalpy at 0 K = -0.17 eV per atom
E = -6.003 eV/atom